Material: Zn6BO6
Method: DFT, PBE
State: relaxed

Calculated values
Formation energy (no corrections) ... -0.825 eV/atom
Fermi-level density of states ... 0.277 states/eV per atom
Electronic total energy ... -4.21 eV/atom
Magnetic moment ... 1.015 μB/f.u.

The structure in CIF format:
```
data_Zn6BO6
_space_group_name_H-M_alt 'P 1'
_space_group_IT_number 1
_space_group_name_Hall 'P 1'
_cell_length_a 5.682
_cell_length_b 5.682
_cell_length_c 5.682
_cell_angle_alpha 90.00
_cell_angle_beta 90.00
_cell_angle_gamma 90.00
loop_
_atom_site_label
_atom_site_type_symbol
_atom_site_fract_x
_atom_site_fract_y
_atom_site_fract_z
Zn1 Zn 0.000 0.248 0.500
Zn2 Zn 0.000 0.752 0.500
Zn3 Zn 0.248 0.500 0.000
Zn4 Zn 0.500 0.000 0.248
Zn5 Zn 0.500 0.000 0.752
Zn6 Zn 0.752 0.500 0.000
B1 B 0.000 0.000 0.000
O1 O 0.000 0.500 0.252
O2 O 0.000 0.500 0.748
O3 O 0.252 0.000 0.500
O4 O 0.500 0.252 0.000
O5 O 0.500 0.748 0.000
O6 O 0.748 0.000 0.500
```

=====

Material: Zn3BO4
Method: DFT, PBE
State: relaxed

Calculated values
Formation energy (no corrections) ... -1.479 eV/atom
Fermi-level density of states ... 0.179 states/eV per atom
Electronic total energy ... -5.27 eV/atom
Magnetic moment ... 0.000 μB/f.u.

The structure in CIF format:
```
data_Zn3BO4
_space_group_name_H-M_alt 'P 1'
_space_group_IT_number 1
_space_group_name_Hall 'P 1'
_cell_length_a 6.350
_cell_length_b 5.350
_cell_length_c 5.044
_cell_angle_alpha 90.00
_cell_angle_beta 90.00
_cell_angle_gamma 90.00
loop_
_atom_site_label
_atom_site_type_symbol
_atom_site_fract_x
_atom_site_fract_y
_atom_site_fract_z
Zn1 Zn 0.000 0.173 0.000
Zn2 Zn 0.246 0.667 0.002
Zn3 Zn 0.254 0.333 0.502
Zn4 Zn 0.500 0.827 0.500
Zn5 Zn 0.746 0.333 0.502
Zn6 Zn 0.754 0.667 0.002
B1 B 0.000 0.836 0.497
B2 B 0.500 0.164 0.997
O1 O 0.000 0.103 0.593
O2 O 0.000 0.835 0.197
O3 O 0.193 0.703 0.600
O4 O 0.307 0.297 0.100
O5 O 0.500 0.165 0.697
O6 O 0.500 0.897 0.093
O7 O 0.693 0.297 0.100
O8 O 0.807 0.703 0.600
```

=====

Material: ZnB4O7
Method: DFT, PBE
State: relaxed

Calculated values
E above lowest polymorph ... 0 meV per atom
Formation energy (no corrections) ... -2.278 eV/atom
Fermi-level density of states ... 0.000 states/eV per atom
Electronic total energy ... -7.50 eV/atom
Magnetic moment ... 0.000 μB/f.u.

The structure in CIF format:
```
data_ZnB4O7
_space_group_name_H-M_alt 'P 1'
_space_group_IT_number 1
_space_group_name_Hall 'P 1'
_cell_length_a 8.299
_cell_length_b 8.819
_cell_length_c 13.887
_cell_angle_alpha 90.00
_cell_angle_beta 90.00
_cell_angle_gamma 90.00
loop_
_atom_site_label
_atom_site_type_symbol
_atom_site_fract_x
_atom_site_fract_y
_atom_site_fract_z
Zn1 Zn 0.109 0.126 0.120
Zn2 Zn 0.109 0.374 0.620
Zn3 Zn 0.391 0.626 0.120
Zn4 Zn 0.391 0.874 0.620
Zn5 Zn 0.609 0.126 0.380
Zn6 Zn 0.609 0.374 0.880
Zn7 Zn 0.891 0.626 0.380
Zn8 Zn 0.891 0.874 0.880
B1 B 0.026 0.143 0.770
B2 B 0.026 0.357 0.270
B3 B 0.031 0.590 0.169
B4 B 0.031 0.910 0.669
B5 B 0.090 0.697 0.564
B6 B 0.090 0.803 0.064
B7 B 0.160 0.145 0.462
B8 B 0.160 0.355 0.962
B9 B 0.340 0.645 0.462
B10 B 0.340 0.855 0.962
B11 B 0.410 0.197 0.564
B12 B 0.410 0.303 0.064
B13 B 0.469 0.090 0.169
B14 B 0.469 0.410 0.669
B15 B 0.474 0.643 0.770
B16 B 0.474 0.857 0.270
B17 B 0.526 0.143 0.730
B18 B 0.526 0.357 0.230
B19 B 0.531 0.590 0.331
B20 B 0.531 0.910 0.831
B21 B 0.590 0.697 0.936
B22 B 0.590 0.803 0.436
B23 B 0.660 0.145 0.038
B24 B 0.660 0.355 0.538
B25 B 0.840 0.645 0.038
B26 B 0.840 0.855 0.538
B27 B 0.910 0.197 0.936
B28 B 0.910 0.303 0.436
B29 B 0.969 0.090 0.331
B30 B 0.969 0.410 0.831
B31 B 0.974 0.643 0.730
B32 B 0.974 0.857 0.230
O1 O 0.017 0.203 0.248
O2 O 0.017 0.297 0.748
O3 O 0.032 0.589 0.642
O4 O 0.032 0.911 0.142
O5 O 0.058 0.239 0.997
O6 O 0.058 0.261 0.497
O7 O 0.096 0.048 0.706
O8 O 0.096 0.452 0.206
O9 O 0.115 0.062 0.385
O10 O 0.115 0.438 0.885
O11 O 0.154 0.668 0.110
O12 O 0.154 0.832 0.610
O13 O 0.196 0.613 0.504
O14 O 0.196 0.887 0.004
O15 O 0.304 0.113 0.504
O16 O 0.304 0.387 0.004
O17 O 0.346 0.168 0.110
O18 O 0.346 0.332 0.610
O19 O 0.385 0.562 0.385
O20 O 0.385 0.938 0.885
O21 O 0.404 0.548 0.706
O22 O 0.404 0.952 0.206
O23 O 0.442 0.739 0.997
O24 O 0.442 0.761 0.497
O25 O 0.468 0.089 0.642
O26 O 0.468 0.411 0.142
O27 O 0.483 0.703 0.248
O28 O 0.483 0.797 0.748
O29 O 0.517 0.203 0.252
O30 O 0.517 0.297 0.752
O31 O 0.532 0.589 0.858
O32 O 0.532 0.911 0.358
O33 O 0.558 0.239 0.503
O34 O 0.558 0.261 0.003
O35 O 0.596 0.048 0.794
O36 O 0.596 0.452 0.294
O37 O 0.615 0.062 0.115
O38 O 0.615 0.438 0.615
O39 O 0.654 0.668 0.390
O40 O 0.654 0.832 0.890
O41 O 0.696 0.613 0.996
O42 O 0.696 0.887 0.496
O43 O 0.804 0.113 0.996
O44 O 0.804 0.387 0.496
O45 O 0.846 0.168 0.390
O46 O 0.846 0.332 0.890
O47 O 0.885 0.562 0.115
O48 O 0.885 0.938 0.615
O49 O 0.904 0.548 0.794
O50 O 0.904 0.952 0.294
O51 O 0.942 0.739 0.503
O52 O 0.942 0.761 0.003
O53 O 0.968 0.089 0.858
O54 O 0.968 0.411 0.358
O55 O 0.983 0.703 0.252
O56 O 0.983 0.797 0.752
```

=====

> What is the magnetic moment in the first record?

1.015 μB/f.u.